DFT (GGA-PBEsol) results for crystalline ZrAs2Au at its relaxed geometry.

a = 3.1571 Å, b = 3.1571 Å, c = 8.8070 Å
α = 79.67°, β = 79.67°, γ = 60.00°
With the nearest neighbours (Å) after each atom.
Positions (direct):
As 0.2491 0.2491 0.2528  3 Au 2.80, 3 Zr 2.84
As 0.7509 0.7509 0.7472  3 Au 2.80, 3 Zr 2.84
Au 0.5000 0.5000 0.5000  6 As 2.80
Zr 0.0000 0.0000 0.0000  6 As 2.84, 6 Zr 3.16

Results
total magnetization	0.0	μB/f.u.
formation energy from the elements	-12.3	kJ per mole of atoms
crystal system	trigonal